Material: LiCaMnBr6
Method: DFT, PBE
State: optimized geometry

## Properties
Uncorrected formation energy in kJ/mol of formula units: -1084
SG: P4_2nm (102)

a b c (Å): 6.785 6.785 11.724
angles (deg): 90.00 90.00 90.00
Site moments in Bohr magnetons follow the coordinates.
Element x y z (fractional)
Br  0.705  0.705  0.989  0.04
Br  0.683  0.683  0.354  -0.02
Br  0.795  0.205  0.489  0.04
Br  0.817  0.183  0.854  -0.02
Br  0.676  0.676  0.657  -0.02
Br  0.824  0.176  0.157  -0.02
Li  0.000  0.000  0.340  0.01
Li  0.500  0.500  0.840  0.01
Br  0.324  0.324  0.657  -0.02
Mn  0.500  0.500  0.502  3.74
Br  0.205  0.795  0.489  0.04
Br  0.183  0.817  0.854  -0.02
Br  0.176  0.824  0.157  -0.02
Br  0.295  0.295  0.989  0.04
Ca  0.500  0.500  0.158  0.01
Br  0.317  0.317  0.354  -0.02
Ca  0.000  0.000  0.658  0.01
Mn  0.000  0.000  0.002  3.74